Computed, not measured: a relaxed Y3Mn crystal at the PBE-GGA level of DFT.

As for the total energy: -6.99 eV per atom. The calculation puts the total magnetic moment at 6.115 μB per cell.

The structure belongs to space group Immm (No. 71); the cell edges are 3.708, 5.378 and 11.084 Å and the angles 90.00°, 90.00° and 90.00°. The asymmetric unit holds Y at (0.000, 0.000, 0.000), Y at (0.000, 0.500, 0.210) and Mn at (0.000, 0.000, 0.500).